LiCeTlSn | PBE-GGA | optimized geometry

It has space group F-43m (No. 216), with a = 7.4405 Å, b = 7.4405 Å, c = 7.4405 Å, α = 90.00°, β = 90.00° and γ = 90.00°. The distinct sites, in fractional coordinates, are Li at (0.0000, 0.0000, 0.0000), Ce at (0.0000, 0.0000, 0.5000), Tl at (0.2500, 0.2500, 0.2500) and Sn at (0.2500, 0.2500, 0.7500).

As for the density: 7.6 Mg/m³. Its formation energy is -361 meV per atom. The total DFT energy (no corrections) comes out at -3.92 eV/atom.